Entry from Alexandria: a geometry-optimized CeAsAu structure (PBE).

Lattice parameters (Å, degrees): 3.9117 3.9117 9.0103 90.00 90.00 90.00
Last column: nearest neighbours and their distance in Å.
Space group I4mm (No. 107)
One atom of each set of equivalent atoms:
Ce  0.0000  0.0000  0.0000 [2 per cell]  5 Au 2.98-3.16, 5 As 3.08-3.15
As  0.0000  0.0000  0.6499 [2 per cell]  5 Au 2.88-3.21, 5 Ce 3.08-3.15
Au  0.0000  0.0000  0.3302 [2 per cell]  5 As 2.88-3.21, 5 Ce 2.98-3.16

Results
ΔH_f (0 K), meV/atom: -721

=====

Entry from Alexandria: a geometry-optimized CeAs3Au structure (PBE).

Lattice parameters (Å, degrees): 5.7800 12.8570 5.7399 90.00 91.19 90.00
Last column: nearest neighbours and their distance in Å.
Space group P2/c (No. 13)
One atom of each set of equivalent atoms:
Ce  0.2468  0.1797  0.0005 [4 per cell]  9 As 2.94-3.27
As  0.0000  0.0004  0.2500 [2 per cell]  4 As 2.87-2.89, 4 Ce 3.06-3.08
As  0.2174  0.4127  0.7749 [4 per cell]  2 As 2.52-2.76
As  0.2586  0.2365  0.5043 [4 per cell]  1 As 2.76, 2 Au 2.80-2.90, 4 Ce 2.94-3.01
As  0.5000  0.9999  0.2500 [2 per cell]  4 As 2.87-2.89, 4 Ce 3.07-3.10
Au  0.0000  0.3835  0.2500 [2 per cell]  6 As 2.80-3.05, 2 Au 2.90
Au  0.5000  0.3969  0.2500 [2 per cell]  2 Au 2.90, 6 As 2.90-3.16

Results
ΔH_f (0 K), meV/atom: -507

=====

Entry from Alexandria: a geometry-optimized Ce2As4Au structure (PBE).

Lattice parameters (Å, degrees): 4.0413 4.0413 9.7568 90.00 90.00 90.00
Last column: nearest neighbours and their distance in Å.
Space group P-4m2 (No. 115)
One atom of each set of equivalent atoms:
Ce  0.0000  0.5000  0.2401 [2 per cell]  8 As 2.98-3.09, 2 Au 3.24
As  0.0000  0.0000  0.0000 [1 per cell]  4 As 2.86, 4 Ce 3.09
As  0.0000  0.5000  0.6739 [2 per cell]  2 Au 2.64
As  0.5000  0.5000  0.0000 [1 per cell]  4 As 2.86, 4 Ce 3.09
Au  0.0000  0.0000  0.5000 [1 per cell]  4 As 2.64

Results
ΔH_f (0 K), meV/atom: -900

=====

Entry from Alexandria: a geometry-optimized CeAs2Au2 structure (PBE).

Lattice parameters (Å, degrees): 4.0706 24.4335 4.1299 90.00 90.00 90.00
Last column: nearest neighbours and their distance in Å.
Space group Cmcm (No. 63)
One atom of each set of equivalent atoms:
Ce  0.0000  0.1559  0.2500 [4 per cell]  8 As 3.00-3.09
As  0.0000  0.2499  0.7500 [4 per cell]  4 As 2.90, 4 Ce 3.07-3.09
As  0.0000  0.3752  0.2500 [4 per cell]  4 Au 2.81-2.85, 4 Ce 3.00
Au  0.0000  0.0454  0.7500 [4 per cell]  2 As 2.81, 8 Au 2.90-3.03
Au  0.0000  0.4555  0.7500 [4 per cell]  2 As 2.85, 8 Au 2.90-3.00

Results
ΔH_f (0 K), meV/atom: -621

=====

Entry from Alexandria: a geometry-optimized CeAsAu structure (PBE).

Lattice parameters (Å, degrees): 4.8094 4.8094 22.8109 90.00 90.00 120.00
Last column: nearest neighbours and their distance in Å.
Space group R-3m (No. 166, hexagonal axes)
One atom of each set of equivalent atoms:
Ce  0.0000  0.0000  0.0875 [6 per cell]  4 As 2.87-2.88
As  0.0000  0.0000  0.2136 [6 per cell]  1 Au 2.73, 4 Ce 2.87-2.88
Au  0.0000  0.0000  0.3333 [6 per cell]  1 As 2.73, 3 Au 2.78

Results
ΔH_f (0 K), meV/atom: -741

=====

Entry from Alexandria: a geometry-optimized Ce4As7Au5 structure (PBE).

Lattice parameters (Å, degrees): 5.8768 5.8768 19.6932 90.00 90.00 90.00
Last column: nearest neighbours and their distance in Å.
Space group I-42m (No. 121)
One atom of each set of equivalent atoms:
Ce  0.2424  0.2424  0.3854 [8 per cell]  7 As 3.02-3.07, 4 Au 3.11-3.38
As  0.0000  0.0000  0.5000 [2 per cell]  4 As 2.94, 4 Ce 3.03
As  0.0000  0.5000  0.0000 [4 per cell]  2 As 2.94, 2 Au 2.94, 4 Ce 3.07
As  0.2447  0.2447  0.1526 [8 per cell]  4 Au 2.80-2.86, 4 Ce 3.02-3.05
Au  0.0000  0.0000  0.0000 [2 per cell]  4 As 2.94, 4 Ce 3.11
Au  0.0000  0.0000  0.2501 [4 per cell]  4 As 2.80-2.86, 4 Au 2.94
Au  0.0000  0.5000  0.2500 [4 per cell]  4 As 2.83, 4 Au 2.94

Results
ΔH_f (0 K), meV/atom: -749

=====

Entry from Alexandria: a geometry-optimized Ce2Co3As4Au structure (PBE).

Lattice parameters (Å, degrees): 4.2319 4.2319 9.6689 90.00 90.00 90.00
Last column: nearest neighbours and their distance in Å.
Space group P-4m2 (No. 115)
One atom of each set of equivalent atoms:
Ce  0.0000  0.5000  0.2372 [2 per cell]  8 As 3.12-3.17, 7 Co 3.24-3.33, 2 Au 3.31
Co  0.0000  0.5000  0.8924 [2 per cell]  5 As 2.31-2.36
Co  0.5000  0.5000  0.5000 [1 per cell]  4 As 2.59
As  0.0000  0.0000  0.0000 [1 per cell]  4 Co 2.36
As  0.0000  0.5000  0.6538 [2 per cell]  1 Co 2.31
As  0.5000  0.5000  0.0000 [1 per cell]  4 Co 2.36
Au  0.0000  0.0000  0.5000 [1 per cell]  4 As 2.59

Results
ΔH_f (0 K), meV/atom: -693

=====

Entry from Alexandria: a geometry-optimized CeEuAsAu structure (PBE).

Lattice parameters (Å, degrees): 7.4117 7.4117 7.4117 90.00 90.00 90.00
Last column: nearest neighbours and their distance in Å.
Space group F-43m (No. 216)
One atom of each set of equivalent atoms:
Ce  0.0000  0.0000  0.0000 [4 per cell]  4 As 3.21, 4 Au 3.21
Eu  0.0000  0.0000  0.5000 [4 per cell]  4 As 3.21, 4 Au 3.21
As  0.2500  0.2500  0.7500 [4 per cell]  4 Ce 3.21, 4 Eu 3.21
Au  0.2500  0.2500  0.2500 [4 per cell]  4 Ce 3.21, 4 Eu 3.21

Results
ΔH_f (0 K), meV/atom: -864

=====

Entry from Alexandria: a geometry-optimized Ce2As3Ir4Au structure (PBE).

Lattice parameters (Å, degrees): 4.0660 4.0660 11.3670 90.00 90.00 90.00
Last column: nearest neighbours and their distance in Å.
Space group P-4m2 (No. 115)
One atom of each set of equivalent atoms:
Ce  0.0000  0.5000  0.2468 [2 per cell]  4 Ir 3.02, 4 As 3.22
As  0.0000  0.0000  0.0000 [1 per cell]  4 Ir 2.78, 4 Au 2.88
As  0.0000  0.5000  0.6255 [2 per cell]  5 Ir 2.36-2.48
Ir  0.0000  0.0000  0.5000 [1 per cell]  4 As 2.48
Ir  0.0000  0.5000  0.8331 [2 per cell]  1 As 2.36
Ir  0.5000  0.5000  0.5000 [1 per cell]  4 As 2.48
Au  0.5000  0.5000  0.0000 [1 per cell]  4 Ir 2.78, 4 As 2.88

Results
ΔH_f (0 K), meV/atom: -643

=====

Entry from Alexandria: a geometry-optimized CeAsAuN structure (PBE).

Lattice parameters (Å, degrees): 3.4563 3.4563 12.6920 90.00 90.00 90.00
Last column: nearest neighbours and their distance in Å.
Space group I4mm (No. 107)
One atom of each set of equivalent atoms:
Ce  0.0000  0.0000  0.0000 [2 per cell]  4 N 2.45
As  0.0000  0.0000  0.2782 [2 per cell]  4 Au 2.69, 1 N 2.95
Au  0.0000  0.0000  0.6889 [2 per cell]  1 N 2.26
N  0.0000  0.0000  0.5106 [2 per cell]  1 Au 2.26, 4 Ce 2.45

=====

Entry from Alexandria: a geometry-optimized Ce2Ni4As3Au structure (PBE).

Lattice parameters (Å, degrees): 4.1367 4.1367 9.8945 90.00 90.00 90.00
Last column: nearest neighbours and their distance in Å.
Space group P-4m2 (No. 115)
One atom of each set of equivalent atoms:
Ce  0.0000  0.5000  0.2410 [2 per cell]  8 Ni 3.14-3.16, 6 As 3.14-3.29, 2 Au 3.29
Ni  0.0000  0.0000  0.0000 [1 per cell]  4 As 2.41
Ni  0.0000  0.5000  0.6435 [2 per cell]  3 As 2.29-2.51, 2 Au 2.51
Ni  0.5000  0.5000  0.0000 [1 per cell]  4 As 2.41
As  0.0000  0.5000  0.8749 [2 per cell]  5 Ni 2.29-2.41
As  0.5000  0.5000  0.5000 [1 per cell]  4 Ni 2.51
Au  0.0000  0.0000  0.5000 [1 per cell]  4 Ni 2.51

Results
ΔH_f (0 K), meV/atom: -717

=====

Entry from Alexandria: a geometry-optimized Ce2Ni3As4Au structure (PBE).

Lattice parameters (Å, degrees): 4.3084 4.3084 9.5830 90.00 90.00 90.00
Last column: nearest neighbours and their distance in Å.
Space group P-4m2 (No. 115)
One atom of each set of equivalent atoms:
Ce  0.0000  0.5000  0.2408 [2 per cell]  8 As 3.16-3.23, 7 Ni 3.29-3.35, 2 Au 3.29
Ni  0.0000  0.5000  0.8917 [2 per cell]  5 As 2.33-2.39
Ni  0.5000  0.5000  0.5000 [1 per cell]  4 As 2.58
As  0.0000  0.0000  0.0000 [1 per cell]  4 Ni 2.39
As  0.0000  0.5000  0.6485 [2 per cell]  3 Ni 2.33-2.58, 2 Au 2.58
As  0.5000  0.5000  0.0000 [1 per cell]  4 Ni 2.39
Au  0.0000  0.0000  0.5000 [1 per cell]  4 As 2.58

Results
ΔH_f (0 K), meV/atom: -735

=====

Summary of final energy in eV per atom
-5.341; -5.139; -5.720; -4.979; -5.361; -5.291; -6.199; -6.897; -7.097; -6.050; -5.939; -5.844
(order as listed above)